(1)
A crystal of LaZr2BeAu relaxed with PBEsol. Source: Alexandria, functional SCAN. Values from VASP.

Properties
**V**: 103 Å³/cell
**Formation energy from the elements**: -0.01 eV/atom
**Space-group type**: P4/mmm (123)
**M_tot**: 0.00 μB/cell

Quantum ESPRESSO input file:
```
&SYSTEM
  ibrav = 0, nat = 5, ntyp = 4
/
ATOMIC_SPECIES
La 138.91 La.upf
Zr 91.22 Zr.upf
Be 9.01 Be.upf
Au 196.97 Au.upf
CELL_PARAMETERS angstrom
4.8794 0.0000 0.0000
0.0000 4.8794 0.0000
0.0000 0.0000 4.3308
ATOMIC_POSITIONS crystal
La 0.0000 0.0000 0.0000
Zr 0.0000 0.5000 0.5000
Zr 0.5000 0.0000 0.5000
Be 0.5000 0.5000 0.5000
Au 0.5000 0.5000 0.0000
```

=====

(2)
A crystal of SrTe2Rh relaxed with PBEsol. Source: Alexandria, functional SCAN. Values from VASP.

Properties
**V**: 215 Å³/cell
**Space-group type**: I-42d (122)
**Excess energy over the best structure of this formula in the dataset**: 0 meV/atom
**M_tot**: 0.00 μB/cell

Quantum ESPRESSO input file:
```
&SYSTEM
  ibrav = 0, nat = 8, ntyp = 3
/
ATOMIC_SPECIES
Sr 87.62 Sr.upf
Te 127.60 Te.upf
Rh 102.91 Rh.upf
CELL_PARAMETERS angstrom
-4.0032 4.0032 3.3575
4.0032 -4.0032 3.3575
4.0032 4.0032 -3.3575
ATOMIC_POSITIONS crystal
Sr 0.0000 0.0000 0.0000
Sr 0.7500 0.2500 0.5000
Te 0.2049 0.6250 0.0799
Te 0.3750 0.4549 0.5799
Te 0.5451 0.1250 0.9201
Te 0.8750 0.7951 0.4201
Rh 0.2500 0.7500 0.5000
Rh 0.5000 0.5000 0.0000
```

=====

(3)
A crystal of K2RbMgAu relaxed with PBEsol. Source: Alexandria, functional SCAN. Values from VASP.

Properties
**V**: 222 Å³/cell
**Formation energy from the elements**: -0.15 eV/atom
**Space-group type**: P4/mmm (123)
**M_tot**: 0.00 μB/cell

Quantum ESPRESSO input file:
```
&SYSTEM
  ibrav = 0, nat = 5, ntyp = 4
/
ATOMIC_SPECIES
K 39.10 K.upf
Rb 85.47 Rb.upf
Mg 24.30 Mg.upf
Au 196.97 Au.upf
CELL_PARAMETERS angstrom
6.4165 0.0000 0.0000
0.0000 6.4165 0.0000
0.0000 0.0000 5.3891
ATOMIC_POSITIONS crystal
K 0.0000 0.5000 0.0000
K 0.5000 0.0000 0.0000
Rb 0.0000 0.0000 0.5000
Mg 0.5000 0.5000 0.5000
Au 0.5000 0.5000 0.0000
```

=====

(4)
A crystal of TlTe2N2 relaxed with PBEsol. Source: Alexandria, functional SCAN. Values from VASP.

Properties
**Uncorrected energy**: -31.486 eV/atom
**V**: 120 Å³/cell
**Space-group type**: P4/mmm (123)
**M_tot**: 3.94 μB/cell

Quantum ESPRESSO input file:
```
&SYSTEM
  ibrav = 0, nat = 5, ntyp = 3
/
ATOMIC_SPECIES
Tl 204.38 Tl.upf
Te 127.60 Te.upf
N 14.01 N.upf
CELL_PARAMETERS angstrom
4.3831 0.0000 0.0000
0.0000 4.3831 0.0000
0.0000 0.0000 6.2513
ATOMIC_POSITIONS crystal
Tl 0.0000 0.0000 0.0000
Te 0.0000 0.0000 0.5000
Te 0.5000 0.5000 0.5000
N 0.0000 0.5000 0.0000
N 0.5000 0.0000 0.0000
```

=====

Repeat the first record exactly.
A crystal of LaZr2BeAu relaxed with PBEsol. Source: Alexandria, functional SCAN. Values from VASP.

Properties
**V**: 103 Å³/cell
**Formation energy from the elements**: -0.01 eV/atom
**Space-group type**: P4/mmm (123)
**M_tot**: 0.00 μB/cell

Quantum ESPRESSO input file:
```
&SYSTEM
  ibrav = 0, nat = 5, ntyp = 4
/
ATOMIC_SPECIES
La 138.91 La.upf
Zr 91.22 Zr.upf
Be 9.01 Be.upf
Au 196.97 Au.upf
CELL_PARAMETERS angstrom
4.8794 0.0000 0.0000
0.0000 4.8794 0.0000
0.0000 0.0000 4.3308
ATOMIC_POSITIONS crystal
La 0.0000 0.0000 0.0000
Zr 0.0000 0.5000 0.5000
Zr 0.5000 0.0000 0.5000
Be 0.5000 0.5000 0.5000
Au 0.5000 0.5000 0.0000
```